1:
This record from Alexandria via LeMat-Bulk describes a relaxed structure of ZrScGa. The functional is PBE.

For the total magnetic moment, the calculation gives 0.000 μB per atom. The density comes out at 5.733 Mg/m³. The value obtained for the calculated volume is 60 Å³/f.u.

It has space group P3m1 (No. 156), with a = 4.8591 Å, b = 4.8591 Å, c = 2.9169 Å, α = 90.00°, β = 90.00° and γ = 120.00°. The asymmetric unit holds Zr at (0.0000, 0.0000, 0.0000), Sc at (0.6667, 0.3333, 0.0026) and Ga at (0.3333, 0.6667, 0.5022).

2:
This record from Alexandria via LeMat-Bulk describes a relaxed structure of ZrScGa. The functional is PBE.

For the total magnetic moment, the calculation gives 0.000 μB per atom. The density comes out at 5.446 Mg/m³. The value obtained for the calculated volume is 63 Å³/f.u.

It has space group Fmmm (No. 69), with a = 5.641 Å, b = 9.143 Å, c = 9.738 Å, α = 90.00°, β = 90.00° and γ = 90.00°. The asymmetric unit holds Zr at (0.000, 0.165, 0.000), Sc at (0.000, 0.000, 0.344) and Ga at (0.250, 0.250, 0.250).

3:
This record from Alexandria via LeMat-Bulk describes a relaxed structure of ZrScGa. The functional is PBE.

For the total magnetic moment, the calculation gives 0.102 μB per atom. The density comes out at 5.617 Mg/m³. The value obtained for the calculated volume is 61 Å³/f.u.

It has space group P6_3/mmc (No. 194), with a = 4.8397 Å, b = 4.8397 Å, c = 6.0016 Å, α = 90.00°, β = 90.00° and γ = 120.00°. The asymmetric unit holds Zr at (0.0000, 0.0000, 0.0000), Sc at (0.3333, 0.6667, 0.2500) and Ga at (0.3333, 0.6667, 0.7500).

4:
This record from Alexandria via LeMat-Bulk describes a relaxed structure of ZrScGa. The functional is PBE.

For the total magnetic moment, the calculation gives 0.000 μB per atom. The density comes out at 5.366 Mg/m³. The value obtained for the calculated volume is 64 Å³/f.u.

It has space group C2/m (No. 12), with a = 8.106 Å, b = 4.673 Å, c = 6.729 Å, α = 90.00°, β = 90.09° and γ = 90.00°. The asymmetric unit holds Zr at (0.167, 0.000, 0.113), Sc at (0.167, 0.000, 0.619) and Ga at (0.000, 0.500, 0.245).

3 is preferred energetically. Next in line: 17 meV per atom higher.